! PBE+U RbCo2NiF8, optimized geometry; values from VASP
! crystal system	triclinic
! symmetry	P-1 (2)
! DFT total energy	-4.521	eV per atom
&SYSTEM
  ibrav = 0, nat = 12, ntyp = 4
/
ATOMIC_SPECIES
Rb 85.47 Rb.upf
Co 58.93 Co.upf
Ni 58.69 Ni.upf
F 19.00 F.upf
ATOMIC_POSITIONS angstrom
Rb -2.185 0.992 3.111
Co -4.842 -1.578 5.138
Co -2.086 -3.104 1.228
Ni 0.000 0.000 0.000
F -0.487 -3.334 2.308
F -6.007 -2.733 6.309
F -3.559 -2.469 0.145
F -6.441 -1.348 4.058
F -0.921 -1.950 0.057
F -3.369 -2.213 6.220
F -3.136 -3.587 2.628
F -3.792 -1.095 3.738
CELL_PARAMETERS angstrom
-3.798 -2.414 -1.840
1.240 -4.252 1.982
-4.370 1.984 6.223

! PBE+U Rb2Co3NiF12, optimized geometry; values from VASP
! crystal system	trigonal
! symmetry	R-3m (166)
! DFT total energy	-4.546	eV per atom
&SYSTEM
  ibrav = 0, nat = 18, ntyp = 4
/
ATOMIC_SPECIES
Rb 85.47 Rb.upf
Co 58.93 Co.upf
Ni 58.69 Ni.upf
F 19.00 F.upf
ATOMIC_POSITIONS angstrom
Rb -3.837 0.313 10.366
Rb -2.286 0.187 6.176
Co -1.771 2.027 2.421
Co -2.232 -1.599 2.360
Co 0.941 -0.178 3.491
Ni 0.000 0.000 0.000
F -0.782 -0.061 9.503
F -6.780 0.674 11.139
F -3.553 -1.950 12.413
F -4.103 2.641 8.192
F -3.005 2.364 12.485
F -4.668 -1.801 8.117
F -5.341 0.560 7.040
F 0.657 -0.175 5.403
F -2.569 2.449 4.130
F -2.019 -2.141 8.351
F -3.118 -1.864 4.057
F -1.455 2.300 8.426
CELL_PARAMETERS angstrom
-3.542 4.055 4.841
-4.464 -3.198 4.719
1.882 -0.357 6.982

! PBE+U RbCoNi2F8, optimized geometry; values from VASP
! crystal system	triclinic
! symmetry	P-1 (2)
! DFT total energy	-4.289	eV per atom
&SYSTEM
  ibrav = 0, nat = 12, ntyp = 4
/
ATOMIC_SPECIES
Rb 85.47 Rb.upf
Co 58.93 Co.upf
Ni 58.69 Ni.upf
F 19.00 F.upf
ATOMIC_POSITIONS angstrom
Rb 2.218 -3.606 0.706
Co 0.000 0.000 0.000
Ni 1.915 -7.702 -1.305
Ni -0.956 -2.978 -1.831
F 0.442 -2.555 -3.180
F -2.321 -2.434 -3.261
F -2.592 -3.287 -0.630
F 0.517 -8.125 0.043
F 3.280 -8.246 0.125
F 3.551 -7.393 -2.506
F 0.961 -6.497 -2.334
F -0.002 -4.183 -0.803
CELL_PARAMETERS angstrom
-4.047 -2.319 -0.004
0.570 -1.148 -4.545
4.435 -7.213 1.413

! PBE+U RbCoNiF6, optimized geometry; values from VASP
! crystal system	orthorhombic
! symmetry	Imma (74)
! DFT total energy	-4.467	eV per atom
&SYSTEM
  ibrav = 0, nat = 18, ntyp = 4
/
ATOMIC_SPECIES
Rb 85.47 Rb.upf
Co 58.93 Co.upf
Ni 58.69 Ni.upf
F 19.00 F.upf
ATOMIC_POSITIONS angstrom
Rb -0.811 -2.872 3.022
Rb -0.607 -4.071 -1.352
Co 0.000 0.000 0.000
Co -3.478 -1.205 0.168
Ni -2.188 1.057 2.710
Ni 2.769 -2.266 0.667
F -1.536 -1.226 -0.174
F 0.245 -6.681 -2.433
F 1.792 -4.054 0.649
F -3.037 -3.990 -3.314
F -3.300 -0.450 1.908
F -2.321 -5.479 0.848
F 0.118 -5.717 1.844
F -1.664 -0.262 4.103
F -3.210 -2.888 1.020
F 1.619 -2.953 4.983
F 1.882 -6.492 -0.239
F 0.902 -1.463 0.822
CELL_PARAMETERS angstrom
-2.581 -4.525 -5.085
5.539 -4.532 1.334
-4.375 2.115 5.420